# KLa2Hg4, optimized geometry, DFT PBE
data_KLa2Hg4
_chemical_formula_sum 'K3 La6 Hg12'
_cell_length_a 5.3977
_cell_length_b 5.3977
_cell_length_c 31.1794
_cell_angle_alpha 90.00
_cell_angle_beta 90.00
_cell_angle_gamma 120.00
_symmetry_space_group_name_H-M 'R -3 m'
_symmetry_Int_Tables_number 166
_symmetry_space_group_name_Hall '-R 3 2"'
loop_
_atom_site_label
_atom_site_type_symbol
_atom_site_fract_x
_atom_site_fract_y
_atom_site_fract_z
_atom_site_occupancy
K1 K 0.0000 0.0000 0.0000 1
La1 La 0.0000 0.0000 0.2129 1
Hg1 Hg 0.0000 0.0000 0.1088 1
Hg2 Hg 0.0000 0.0000 0.4222 1
# DFT total energy ... -2.02 eV/atom
# Magnetization ... 0.00 μB per atom
# Formation energy from the elements ... -193 kJ/mol of formula units